(1)
# Cr2AgW

A relaxed Cr2AgW crystal (PBE, Alexandria via LeMat-Bulk).

Unit cell a=5.061 b=5.061 c=5.061 alpha=145.14 beta=129.01 gamma=63.26
Atoms (fractional coordinates):
Ag (0.239, 0.739, 0.500)
Cr (0.974, 0.974, 0.000)
Cr (0.769, 0.269, 0.500)
W (0.518, 0.518, 0.000)

- ΔE to the lowest computed polymorph: 0.597 eV per formula unit
- Final energy: -8.214 eV per atom
- ΔE_f: 0.548 eV per atom
- Symmetry: Imm2
- Volume: 57 Å³ per cell

---

(2)
# CrAg4W

A relaxed CrAg4W crystal (PBE, Alexandria via LeMat-Bulk).

Unit cell a=5.343 b=5.343 c=5.343 alpha=60.00 beta=60.00 gamma=60.00
Each line ends with the local moment (μB).
Atoms (fractional coordinates):
Cr (0.750, 0.750, 0.750)  3.63
Ag (0.875, 0.375, 0.375)  -0.01
Ag (0.375, 0.375, 0.875)  -0.01
Ag (0.375, 0.875, 0.375)  -0.01
Ag (0.375, 0.375, 0.375)  -0.01
W (0.000, 0.000, 0.000)  -1.79

- Final energy: -4.819 eV per atom
- ΔE_f: 0.844 eV per atom
- Symmetry: F-43m
- Volume: 108 Å³ per cell

---

(3)
# Cr2AgW

A relaxed Cr2AgW crystal (PBE, Alexandria via LeMat-Bulk).

Unit cell a=2.653 b=2.653 c=8.731 alpha=90.00 beta=90.00 gamma=108.78
Atoms (fractional coordinates):
Ag (0.500, 0.500, 0.750)
Cr (0.000, 0.000, 0.013)
Cr (0.000, 0.000, 0.487)
W (0.500, 0.500, 0.250)

- ΔE to the lowest computed polymorph: 0.087 eV per formula unit
- Final energy: -8.342 eV per atom
- ΔE_f: 0.421 eV per atom
- Symmetry: Cmmm
- Volume: 58 Å³ per cell

---

(4)
# Cr4AgW

A relaxed Cr4AgW crystal (PBE, Alexandria via LeMat-Bulk).

Unit cell a=4.828 b=4.828 c=4.828 alpha=60.00 beta=60.00 gamma=60.00
Atoms (fractional coordinates):
Cr (0.876, 0.375, 0.375)
Cr (0.375, 0.375, 0.876)
Cr (0.375, 0.876, 0.375)
Cr (0.375, 0.375, 0.375)
Ag (0.000, 0.000, 0.000)
W (0.750, 0.750, 0.750)

- Final energy: -8.742 eV per atom
- ΔE_f: 0.308 eV per atom
- Symmetry: F-43m
- Volume: 80 Å³ per cell

---

(5)
# Cr2AgW

A relaxed Cr2AgW crystal (PBE, Alexandria via LeMat-Bulk).

Unit cell a=4.277 b=2.669 c=5.378 alpha=79.58 beta=90.00 gamma=90.00
Atoms (fractional coordinates):
Ag (0.500, 0.750, 0.750)
Cr (0.000, 0.964, 0.056)
Cr (0.000, 0.536, 0.444)
W (0.500, 0.250, 0.250)

- ΔE to the lowest computed polymorph: 0.535 eV per formula unit
- Final energy: -8.230 eV per atom
- ΔE_f: 0.533 eV per atom
- Symmetry: P2/m
- Volume: 60 Å³ per cell

---

(6)
# CrAg3W

A relaxed CrAg3W crystal (PBE, Alexandria via LeMat-Bulk).

Unit cell a=4.653 b=4.653 c=4.653 alpha=90.00 beta=90.00 gamma=90.00
Atoms (fractional coordinates):
Cr (0.000, 0.000, 0.000)
Ag (0.000, 0.500, 0.000)
Ag (0.000, 0.000, 0.500)
Ag (0.500, 0.000, 0.000)
W (0.500, 0.500, 0.500)

- ΔE to the lowest computed polymorph: 1.828 eV per formula unit
- Final energy: -3.965 eV per atom
- ΔE_f: 2.261 eV per atom
- Symmetry: Pm-3m
- Volume: 101 Å³ per cell

---

(7)
# Cr2AgW

A relaxed Cr2AgW crystal (PBE, Alexandria via LeMat-Bulk).

Unit cell a=4.826 b=4.826 c=4.826 alpha=133.63 beta=133.63 gamma=67.67
Each line ends with the local moment (μB).
Atoms (fractional coordinates):
Ag (0.750, 0.250, 0.500)  0.00
Cr (0.000, 0.000, 0.000)  -1.28
Cr (0.250, 0.750, 0.500)  1.63
W (0.500, 0.500, 0.000)  0.08

- ΔE to the lowest computed polymorph: 0.951 eV per formula unit
- Final energy: -8.126 eV per atom
- ΔE_f: 0.637 eV per atom
- Symmetry: I-4m2
- Volume: 58 Å³ per cell

---

(8)
# Cr2AgW

A relaxed Cr2AgW crystal (PBE, Alexandria via LeMat-Bulk).

Unit cell a=5.095 b=5.095 c=2.588 alpha=80.41 beta=80.41 gamma=115.65
Atoms (fractional coordinates):
Ag (0.000, 0.500, 0.500)
Cr (0.000, 0.000, 0.000)
Cr (0.500, 0.500, 0.000)
W (0.500, 0.000, 0.500)

- ΔE to the lowest computed polymorph: 0.868 eV per formula unit
- Final energy: -8.147 eV per atom
- ΔE_f: 0.616 eV per atom
- Symmetry: C2/m
- Volume: 58 Å³ per cell

---

(9)
# Cr2AgW

A relaxed Cr2AgW crystal (PBE, Alexandria via LeMat-Bulk).

Unit cell a=3.105 b=3.106 c=6.349 alpha=90.00 beta=90.00 gamma=90.00
Each line ends with the local moment (μB).
Atoms (fractional coordinates):
Ag (0.500, 0.500, 0.750)  0.11
Cr (0.000, 0.000, 0.028)  2.28
Cr (0.000, 0.000, 0.472)  2.28
W (0.500, 0.500, 0.250)  -0.68

- ΔE to the lowest computed polymorph: 0.146 eV per formula unit
- Final energy: -8.327 eV per atom
- ΔE_f: 0.436 eV per atom
- Symmetry: P4/mmm
- Volume: 61 Å³ per cell

---

(10)
# Cr2AgW

A relaxed Cr2AgW crystal (PBE, Alexandria via LeMat-Bulk).

Unit cell a=4.035 b=2.668 c=5.644 alpha=72.93 beta=90.00 gamma=90.00
Atoms (fractional coordinates):
Ag (0.500, 0.773, 0.758)
Cr (0.000, 0.023, 0.042)
Cr (0.500, 0.225, 0.234)
W (0.000, 0.479, 0.465)

- ΔE to the lowest computed polymorph: 0.445 eV per formula unit
- Final energy: -8.252 eV per atom
- ΔE_f: 0.510 eV per atom
- Symmetry: Pm
- Volume: 58 Å³ per cell

---

(11)
# Cr2AgW

A relaxed Cr2AgW crystal (PBE, Alexandria via LeMat-Bulk).

Unit cell a=8.955 b=8.955 c=8.955 alpha=17.84 beta=17.84 gamma=17.84
Each line ends with the local moment (μB).
Atoms (fractional coordinates):
Ag (0.255, 0.255, 0.255)  0.00
Cr (0.012, 0.012, 0.012)  0.37
Cr (0.741, 0.741, 0.741)  -0.18
W (0.492, 0.492, 0.492)  0.02

- ΔE to the lowest computed polymorph: 0.477 eV per formula unit
- Final energy: -8.244 eV per atom
- ΔE_f: 0.518 eV per atom
- Symmetry: R3m
- Volume: 59 Å³ per cell

---

(12)
# Cr2AgW

A relaxed Cr2AgW crystal (PBE, Alexandria via LeMat-Bulk).

Unit cell a=6.864 b=6.864 c=5.540 alpha=51.72 beta=51.72 gamma=90.00
Atoms (fractional coordinates):
Cr (0.647, 0.125, 0.250)
Cr (0.103, 0.625, 0.250)
Cr (0.375, 0.353, 0.750)
Cr (0.875, 0.897, 0.750)
Ag (0.500, 0.500, 0.000)
Ag (0.250, 0.750, 0.500)
W (0.000, 0.000, 0.000)
W (0.750, 0.250, 0.500)

- ΔE to the lowest computed polymorph: 3.094 eV per formula unit
- Final energy: -7.590 eV per atom
- ΔE_f: 1.173 eV per atom
- Symmetry: I-42d
- Volume: 126 Å³ per cell

---

(13)
# Cr2AgW

A relaxed Cr2AgW crystal (PBE, Alexandria via LeMat-Bulk).

Unit cell a=4.739 b=4.739 c=4.930 alpha=82.86 beta=82.86 gamma=31.67
Atoms (fractional coordinates):
Ag (0.253, 0.253, 0.240)
Cr (0.002, 0.002, 0.995)
Cr (0.746, 0.746, 0.755)
W (0.498, 0.498, 0.510)

- ΔE to the lowest computed polymorph: 1.000 eV per formula unit
- Final energy: -8.114 eV per atom
- ΔE_f: 0.649 eV per atom
- Symmetry: Cm
- Volume: 58 Å³ per cell

---

(14)
# Y2CrAg

A relaxed Y2CrAg crystal (PBE, Alexandria via LeMat-Bulk).

Unit cell a=5.063 b=5.063 c=5.063 alpha=60.00 beta=60.00 gamma=60.00
Each line ends with the local moment (μB).
Atoms (fractional coordinates):
Ag (0.500, 0.500, 0.500)  0.04
Cr (0.750, 0.750, 0.750)  3.68
Y (0.000, 0.000, 0.000)  0.20
Y (0.250, 0.250, 0.250)  -0.01

- ΔE to the lowest computed polymorph: 0.920 eV per formula unit
- Final energy: -6.086 eV per atom
- ΔE_f: 0.265 eV per atom
- Symmetry: F-43m
- Volume: 92 Å³ per cell

---

(15)
# Y2CrAg

A relaxed Y2CrAg crystal (PBE, Alexandria via LeMat-Bulk).

Unit cell a=5.127 b=5.127 c=5.127 alpha=60.00 beta=60.00 gamma=60.00
Each line ends with the local moment (μB).
Atoms (fractional coordinates):
Y (0.250, 0.250, 0.250)  -0.06
Y (0.750, 0.750, 0.750)  -0.06
Cr (0.000, 0.000, 0.000)  3.46
Ag (0.500, 0.500, 0.500)  -0.01

- ΔE to the lowest computed polymorph: 0.108 eV per formula unit
- Final energy: -6.289 eV per atom
- ΔE_f: 0.062 eV per atom
- Symmetry: Fm-3m
- Volume: 95 Å³ per cell